Entry 1:
Crystalline MoPt3Rh at its relaxed geometry. Source: the Alexandria database, functional GGA-PBE.

Cell lengths 3.912, 5.575, 7.402 Å; angles 80.02, 105.34, 89.98 degrees
Positions (direct):
Mo: 0.406 0.551 0.094
Mo: 0.623 0.951 0.528
Pt: 0.609 0.449 0.499
Pt: 0.819 0.340 0.919
Pt: 0.012 0.746 0.305
Pt: 0.014 0.244 0.309
Pt: 0.415 0.038 0.111
Pt: 0.213 0.650 0.707
Rh: 0.814 0.833 0.910
Rh: 0.204 0.142 0.691

## Properties
- energy above the most stable polymorph in this dataset (kJ per mole of atoms) = 0.0
- energy relative to the elements (eV/atom) = -0.244
- crystal system = monoclinic
- V (Å³ per atom) = 15.315
- SG = Cm

***

Entry 2:
Crystalline YMg4Os at its relaxed geometry. Source: the Alexandria database, functional GGA-PBE.

Cell lengths 5.536, 5.536, 5.536 Å; angles 60.00, 60.00, 60.00 degrees
Positions (direct):
Y: 0.000 0.000 0.000
Mg: 0.376 0.871 0.376
Mg: 0.871 0.376 0.376
Mg: 0.376 0.376 0.871
Mg: 0.376 0.376 0.376
Os: 0.750 0.750 0.750

## Properties
- energy relative to the elements (eV/atom) = 0.239
- crystal system = cubic
- V (Å³ per atom) = 19.995
- SG = F-43m

***

Entry 3:
Crystalline CeZr2Tl at its relaxed geometry. Source: the Alexandria database, functional GGA-PBE.

Cell lengths 3.698, 3.698, 6.962 Å; angles 90.00, 90.00, 90.00 degrees
Positions (direct):
Tl: 0.500 0.500 0.500
Zr: 0.000 0.000 0.741
Zr: 0.000 0.000 0.259
Ce: 0.500 0.500 0.000

## Properties
- energy above the most stable polymorph in this dataset (kJ per mole of atoms) = 8.7
- energy relative to the elements (eV/atom) = 0.045
- crystal system = tetragonal
- V (Å³ per atom) = 23.798
- SG = P4/mmm

***

Entry 4:
Crystalline BaLa2Sc2 at its relaxed geometry. Source: the Alexandria database, functional GGA-PBE.

Cell lengths 9.643, 9.643, 3.827 Å; angles 90.00, 90.00, 90.00 degrees
Positions (direct):
Sc: 0.166 0.666 0.500
Sc: 0.666 0.834 0.500
Sc: 0.834 0.334 0.500
Sc: 0.334 0.166 0.500
Ba: 0.000 0.000 0.000
Ba: 0.500 0.500 0.000
La: 0.373 0.873 0.000
La: 0.873 0.627 0.000
La: 0.627 0.127 0.000
La: 0.127 0.373 0.000

## Properties
- energy above the most stable polymorph in this dataset (kJ per mole of atoms) = 2.3
- energy relative to the elements (eV/atom) = 0.196
- crystal system = tetragonal
- V (Å³ per atom) = 35.588
- SG = P4/mbm